[1]
# Cs2PaTeO6 PBE optimized geometry
# Raw total energy   -6.46 eV per atom
data_Cs2PaTeO6
_chemical_formula_sum 'Cs4 Pa2 Te2 O12'
_symmetry_space_group_name_H-M 'I 4 m m'
_symmetry_Int_Tables_number 107
_symmetry_space_group_name_Hall 'I 4 -2'
_cell_length_a 6.103
_cell_length_b 6.103
_cell_length_c 9.397
_cell_angle_alpha 90.00
_cell_angle_beta 90.00
_cell_angle_gamma 90.00
loop_
_atom_site_label
_atom_site_type_symbol
_atom_site_fract_x
_atom_site_fract_y
_atom_site_fract_z
Cs1 Cs 0.000 0.500 0.000
Pa1 Pa 0.000 0.000 0.248
Te1 Te 0.000 0.000 0.764
O1 O 0.000 0.000 0.459
O2 O 0.000 0.000 0.969
O3 O 0.244 0.244 0.746

[2]
# CsPaTeO5 PBE optimized geometry
# Raw total energy   -7.01 eV per atom
data_CsPaTeO5
_chemical_formula_sum 'Cs4 Pa4 Te4 O20'
_symmetry_space_group_name_H-M 'C 1 2/c 1'
_symmetry_Int_Tables_number 15
_cell_length_a 7.844
_cell_length_b 10.409
_cell_length_c 8.265
_cell_angle_alpha 90.00
_cell_angle_beta 108.40
_cell_angle_gamma 90.00
loop_
_symmetry_equiv_pos_as_xyz
'x,y,z'
'-x,-y,-z'
'-x,y,-z+1/2'
'x,-y,z+1/2'
'x+1/2,y+1/2,z'
'-x+1/2,-y+1/2,-z'
'-x+1/2,y+1/2,-z+1/2'
'x+1/2,-y+1/2,z+1/2'
loop_
_atom_site_label
_atom_site_type_symbol
_atom_site_fract_x
_atom_site_fract_y
_atom_site_fract_z
Cs1 Cs 0.000 0.165 0.250
Pa1 Pa 0.000 0.500 0.000
Te1 Te 0.000 0.173 0.750
O1 O 0.000 0.445 0.250
O2 O 0.091 0.293 0.622
O3 O 0.243 0.084 0.936

[3]
# CsPaTeO6 PBE optimized geometry
# Raw total energy   -7.04 eV per atom
data_CsPaTeO6
_chemical_formula_sum 'Cs4 Pa4 Te4 O24'
_symmetry_space_group_name_H-M 'I m m a'
_symmetry_Int_Tables_number 74
_symmetry_space_group_name_Hall '-I 2b 2'
_cell_length_a 7.471
_cell_length_b 7.997
_cell_length_c 11.052
_cell_angle_alpha 90.00
_cell_angle_beta 90.00
_cell_angle_gamma 90.00
loop_
_atom_site_label
_atom_site_type_symbol
_atom_site_fract_x
_atom_site_fract_y
_atom_site_fract_z
Cs1 Cs 0.000 0.250 0.118
Pa1 Pa 0.000 0.000 0.500
Te1 Te 0.250 0.250 0.750
O1 O 0.000 0.250 0.429
O2 O 0.000 0.250 0.812
O3 O 0.202 0.078 0.631